Density functional theory data (PBE) for SrLaH8Pt2 after structural relaxation.

Magnetization in Bohr magnetons per cell: 0.00
Density of states at the Fermi level in states/eV/f.u.: 5.01
DFT total energy in eV per atom: -4.11

Cell lengths 4.8833, 4.8833, 20.1920 Å; angles 90.00, 90.00, 120.00 degrees
Space group R-3m (No. 166, hexagonal axes)
One atom of each set of equivalent atoms:
Sr  0.0000  0.0000  0.0000 [3 per cell]
La  0.0000  0.0000  0.5000 [3 per cell]
H  0.0000  0.0000  0.1516 [6 per cell]
H  0.0261  0.5130  0.0595 [18 per cell]
Pt  0.0000  0.0000  0.2358 [6 per cell]